No. 1
ZnCd2Si: optimized geometry, PBE-GGA. Values from VASP.

Quantum ESPRESSO input file:
```
&SYSTEM
  ibrav = 0, nat = 4, ntyp = 3
/
ATOMIC_SPECIES
Zn 65.41 Zn.upf
Cd 112.41 Cd.upf
Si 28.09 Si.upf
CELL_PARAMETERS angstrom
2.1600 -2.2366 0.0000
2.1600 2.2366 0.0000
0.0000 0.0000 8.0065
ATOMIC_POSITIONS crystal
Zn 0.0000 0.0000 0.0000
Cd 0.0000 0.0000 0.4519
Cd 0.5000 0.5000 0.7439
Si 0.5000 0.5000 0.1928
```

Calculated values
**Energy above the most stable polymorph in this dataset**: 2.19 kJ/mol of atoms
**Energy relative to the elements, uncorrected**: 0.25 eV/atom
**M_tot**: 0.000 μB per formula unit
**Calculated volume**: 77.4 Å³/cell

No. 2
Cs2CaBeTe: optimized geometry, PBE-GGA. Values from VASP.

Quantum ESPRESSO input file:
```
&SYSTEM
  ibrav = 0, nat = 5, ntyp = 4
/
ATOMIC_SPECIES
Cs 132.91 Cs.upf
Ca 40.08 Ca.upf
Be 9.01 Be.upf
Te 127.60 Te.upf
CELL_PARAMETERS angstrom
7.9594 0.0000 0.0000
0.0000 7.9594 0.0000
0.0000 0.0000 5.7506
ATOMIC_POSITIONS crystal
Cs 0.0000 0.5000 0.0000
Cs 0.5000 0.0000 0.0000
Ca 0.0000 0.0000 0.0000
Be 0.5000 0.5000 0.5000
Te 0.0000 0.0000 0.5000
```

Calculated values
**Energy relative to the elements, uncorrected**: 0.36 eV/atom
**M_tot**: 0.000 μB per formula unit
**Calculated volume**: 364.3 Å³/cell

No. 3
Tl2ReRh: optimized geometry, PBE-GGA. Values from VASP.

Quantum ESPRESSO input file:
```
&SYSTEM
  ibrav = 0, nat = 4, ntyp = 3
/
ATOMIC_SPECIES
Tl 204.38 Tl.upf
Re 186.21 Re.upf
Rh 102.91 Rh.upf
CELL_PARAMETERS angstrom
0.0000 3.3267 3.3267
3.3267 0.0000 3.3267
3.3267 3.3267 0.0000
ATOMIC_POSITIONS crystal
Tl 0.2500 0.2500 0.2500
Tl 0.7500 0.7500 0.7500
Re 0.0000 0.0000 0.0000
Rh 0.5000 0.5000 0.5000
```

Calculated values
**Energy above the most stable polymorph in this dataset**: 40.64 kJ/mol of atoms
**Energy relative to the elements**: 0.8345 eV/atom
**M_tot**: 0.001 μB per formula unit
**Calculated volume**: 73.6 Å³/cell

No. 4
La5GeS5: optimized geometry, PBE-GGA. Values from VASP.

Quantum ESPRESSO input file:
```
&SYSTEM
  ibrav = 0, nat = 11, ntyp = 3
/
ATOMIC_SPECIES
La 138.91 La.upf
Ge 72.64 Ge.upf
S 32.06 S.upf
CELL_PARAMETERS angstrom
6.6899 -2.9669 0.0000
6.6899 2.9669 0.0000
-2.6846 0.0000 8.0398
ATOMIC_POSITIONS crystal
La 0.0000 0.0000 0.0000
La 0.3337 0.3337 0.6618
La 0.3389 0.3389 0.1770
La 0.6611 0.6611 0.8230
La 0.6663 0.6663 0.3382
Ge 0.5000 0.5000 0.0000
S 0.1725 0.1725 0.3298
S 0.1758 0.1758 0.8477
S 0.5000 0.5000 0.5000
S 0.8242 0.8242 0.1523
S 0.8275 0.8275 0.6702
```

Calculated values
**Energy relative to the elements, uncorrected**: -1.91 eV/atom
**M_tot**: 0.000 μB per formula unit
**Calculated volume**: 319.2 Å³/cell

No. 5
SrHg4H2: optimized geometry, PBE-GGA. Values from VASP.

Quantum ESPRESSO input file:
```
&SYSTEM
  ibrav = 0, nat = 7, ntyp = 3
/
ATOMIC_SPECIES
Sr 87.62 Sr.upf
Hg 200.59 Hg.upf
H 1.01 H.upf
CELL_PARAMETERS angstrom
3.7902 0.0000 0.0000
0.0115 5.6483 0.0000
1.5297 2.7368 7.3933
ATOMIC_POSITIONS crystal
Sr 0.0000 0.0000 0.0000
Hg 0.2169 0.3859 0.2310
Hg 0.4075 0.7919 0.4161
Hg 0.5925 0.2081 0.5839
Hg 0.7831 0.6141 0.7690
H 0.4986 0.2637 0.0015
H 0.5014 0.7363 0.9985
```

Calculated values
**E_tot**: -1.45 eV/atom
**M_tot**: 0.000 μB per formula unit
**Calculated volume**: 158.3 Å³/cell

No. 6
BiTeW3: optimized geometry, PBE-GGA. Values from VASP.

Quantum ESPRESSO input file:
```
&SYSTEM
  ibrav = 0, nat = 5, ntyp = 3
/
ATOMIC_SPECIES
Bi 208.98 Bi.upf
Te 127.60 Te.upf
W 183.84 W.upf
CELL_PARAMETERS angstrom
5.0698 0.0000 0.0000
0.0000 5.0698 0.0000
0.0000 0.0000 5.0698
ATOMIC_POSITIONS crystal
Bi 0.0000 0.0000 0.0000
Te 0.5000 0.5000 0.5000
W 0.0000 0.0000 0.5000
W 0.0000 0.5000 0.0000
W 0.5000 0.0000 0.0000
```

Calculated values
**Energy above the most stable polymorph in this dataset**: 66.66 kJ/mol of atoms
**Energy relative to the elements, uncorrected**: 3.01 eV/atom
**M_tot**: 0.000 μB per formula unit
**Calculated volume**: 130.3 Å³/cell

No. 7
LiEr2Ag: optimized geometry, PBE-GGA. Values from VASP.

Quantum ESPRESSO input file:
```
&SYSTEM
  ibrav = 0, nat = 4, ntyp = 3
/
ATOMIC_SPECIES
Li 6.94 Li.upf
Er 167.26 Er.upf
Ag 107.87 Ag.upf
CELL_PARAMETERS angstrom
0.0000 3.6148 3.6148
3.6148 0.0000 3.6148
3.6148 3.6148 0.0000
ATOMIC_POSITIONS crystal
Li 0.0000 0.0000 0.0000
Er 0.2500 0.2500 0.2500
Er 0.7500 0.7500 0.7500
Ag 0.5000 0.5000 0.5000
```

Calculated values
**Energy above the most stable polymorph in this dataset**: 0.97 kJ/mol of atoms
**Energy relative to the elements**: -0.1036 eV/atom
**M_tot**: 0.000 μB per formula unit
**Calculated volume**: 94.5 Å³/cell

No. 8
Dy6Ge3SbSe2: optimized geometry, PBE-GGA. Values from VASP.

Quantum ESPRESSO input file:
```
&SYSTEM
  ibrav = 0, nat = 12, ntyp = 4
/
ATOMIC_SPECIES
Dy 162.50 Dy.upf
Ge 72.64 Ge.upf
Sb 121.76 Sb.upf
Se 78.96 Se.upf
CELL_PARAMETERS angstrom
9.1474 -2.0712 0.0000
9.1474 2.0712 0.0000
-2.0834 0.0000 8.1649
ATOMIC_POSITIONS crystal
Dy 0.0004 0.0004 0.2376
Dy 0.9996 0.9996 0.7624
Dy 0.3277 0.3277 0.4199
Dy 0.3350 0.3350 0.9108
Dy 0.6650 0.6650 0.0892
Dy 0.6723 0.6723 0.5801
Ge 0.1660 0.1660 0.3314
Ge 0.5000 0.5000 0.0000
Ge 0.8340 0.8340 0.6686
Sb 0.5000 0.5000 0.5000
Se 0.1682 0.1682 0.8360
Se 0.8318 0.8318 0.1640
```

Calculated values
**Energy relative to the elements, uncorrected**: -1.22 eV/atom
**M_tot**: 0.000 μB per formula unit
**Calculated volume**: 309.4 Å³/cell

No. 9
Pr2DyIn3: optimized geometry, PBE-GGA. Values from VASP.

Quantum ESPRESSO input file:
```
&SYSTEM
  ibrav = 0, nat = 6, ntyp = 3
/
ATOMIC_SPECIES
Pr 140.91 Pr.upf
Dy 162.50 Dy.upf
In 114.82 In.upf
CELL_PARAMETERS angstrom
3.8382 0.0000 0.0000
0.0000 3.8382 0.0000
0.0000 0.0000 11.6705
ATOMIC_POSITIONS crystal
Pr 0.0000 0.0000 0.1726
Pr 0.0000 0.0000 0.8274
Dy 0.0000 0.0000 0.5000
In 0.5000 0.5000 0.0000
In 0.5000 0.5000 0.3464
In 0.5000 0.5000 0.6536
```

Calculated values
**Energy above the most stable polymorph in this dataset**: 0.00 kJ/mol of atoms
**Energy relative to the elements**: -0.4870 eV/atom
**M_tot**: 0.000 μB per formula unit
**Calculated volume**: 171.9 Å³/cell

No. 10
HfIn3N: optimized geometry, PBE-GGA. Values from VASP.

Quantum ESPRESSO input file:
```
&SYSTEM
  ibrav = 0, nat = 5, ntyp = 3
/
ATOMIC_SPECIES
Hf 178.49 Hf.upf
In 114.82 In.upf
N 14.01 N.upf
CELL_PARAMETERS angstrom
5.5985 0.0000 0.0000
0.0000 5.5985 0.0000
0.0000 0.0000 5.5985
ATOMIC_POSITIONS crystal
Hf 0.0000 0.0000 0.0000
In 0.0000 0.0000 0.5000
In 0.0000 0.5000 0.0000
In 0.5000 0.0000 0.0000
N 0.5000 0.5000 0.5000
```

Calculated values
**Energy above the most stable polymorph in this dataset**: 114.75 kJ/mol of atoms
**Energy relative to the elements, uncorrected**: 1.83 eV/atom
**M_tot**: 0.000 μB per formula unit
**Calculated volume**: 175.5 Å³/cell

No. 11
RbOsS2Cl: optimized geometry, PBE-GGA. Values from VASP.

Quantum ESPRESSO input file:
```
&SYSTEM
  ibrav = 0, nat = 5, ntyp = 4
/
ATOMIC_SPECIES
Rb 85.47 Rb.upf
Os 190.23 Os.upf
S 32.06 S.upf
Cl 35.45 Cl.upf
CELL_PARAMETERS angstrom
4.5600 0.0000 0.0000
0.0000 4.5600 0.0000
0.0000 0.0000 5.7647
ATOMIC_POSITIONS crystal
Rb 0.0000 0.0000 0.0000
Os 0.5000 0.5000 0.5000
S 0.0000 0.5000 0.5000
S 0.5000 0.0000 0.5000
Cl 0.5000 0.5000 0.0000
```

Calculated values
**Energy above the most stable polymorph in this dataset**: 0.00 kJ/mol of atoms
**Energy relative to the elements, uncorrected**: -0.35 eV/atom
**M_tot**: 0.000 μB per formula unit
**Calculated volume**: 119.9 Å³/cell

No. 12
BeV2Ni2: optimized geometry, PBE-GGA. Values from VASP.

Quantum ESPRESSO input file:
```
&SYSTEM
  ibrav = 0, nat = 10, ntyp = 3
/
ATOMIC_SPECIES
Be 9.01 Be.upf
V 50.94 V.upf
Ni 58.69 Ni.upf
CELL_PARAMETERS angstrom
6.2844 0.0000 0.0000
0.0000 6.2844 0.0000
0.0000 0.0000 3.0605
ATOMIC_POSITIONS crystal
Be 0.0000 0.0000 0.0000
Be 0.5000 0.5000 0.0000
V 0.1746 0.3254 0.5000
V 0.3254 0.8254 0.5000
V 0.6746 0.1746 0.5000
V 0.8254 0.6746 0.5000
Ni 0.1324 0.6324 0.0000
Ni 0.3676 0.1324 0.0000
Ni 0.6324 0.8676 0.0000
Ni 0.8676 0.3676 0.0000
```

Calculated values
**Energy relative to the elements**: 0.0420 eV/atom
**M_tot**: 0.000 μB per formula unit
**Calculated volume**: 120.9 Å³/cell